Entry 1:
La4TbSm15 (PBE, relaxed); energy = -0.1741 hartree per atom; DOS at the Fermi energy = 31.42 states/eV/f.u.; magnetization = 0.00 Bohr magnetons per cell
1.0
5.170 0.000 0.000
0.000 5.170 0.000
0.000 0.000 25.787
La Tb Sm
4 1 15
direct
0.000 0.000 0.101 La
0.000 0.000 0.301 La
0.000 0.000 0.699 La
0.000 0.000 0.899 La
0.000 0.000 0.500 Tb
0.000 0.500 0.000 Sm
0.000 0.500 0.201 Sm
0.000 0.500 0.402 Sm
0.000 0.500 0.598 Sm
0.000 0.500 0.799 Sm
0.500 0.000 0.000 Sm
0.500 0.000 0.201 Sm
0.500 0.000 0.402 Sm
0.500 0.000 0.598 Sm
0.500 0.000 0.799 Sm
0.500 0.500 0.100 Sm
0.500 0.500 0.302 Sm
0.500 0.500 0.500 Sm
0.500 0.500 0.698 Sm
0.500 0.500 0.900 Sm

***

Entry 2:
La12Tb2Sm5 (PBE, relaxed); DOS at the Fermi energy = 32.40 states/eV/f.u.; energy relative to the lowest polymorph listed for this composition = 66.5 meV/atom; magnetization = 0.00 Bohr magnetons per cell
1.0
9.794 -3.830 0.000
9.794 3.830 0.000
-4.559 0.000 9.069
La Tb Sm
12 2 5
direct
0.004 0.004 0.211 La
0.066 0.601 0.502 La
0.090 0.591 0.154 La
0.399 0.934 0.498 La
0.409 0.910 0.846 La
0.487 0.487 0.656 La
0.513 0.513 0.344 La
0.591 0.090 0.154 La
0.601 0.066 0.502 La
0.910 0.409 0.846 La
0.934 0.399 0.498 La
0.996 0.996 0.789 La
0.301 0.699 0.000 Tb
0.699 0.301 0.000 Tb
0.000 0.000 0.500 Sm
0.174 0.174 0.166 Sm
0.323 0.323 0.805 Sm
0.677 0.677 0.195 Sm
0.826 0.826 0.834 Sm

***

Entry 3:
La6TbSm4 (PBE, relaxed); DOS at the Fermi energy = 17.95 states/eV/f.u.; energy relative to the lowest polymorph listed for this composition = 0.0 meV/atom; magnetization = 0.00 Bohr magnetons per cell
1.0
3.006 -4.938 0.000
3.006 4.938 0.000
0.000 0.000 26.296
La Tb Sm
12 2 8
direct
0.000 0.000 0.000 La
0.000 0.000 0.500 La
0.060 0.940 0.750 La
0.294 0.706 0.102 La
0.294 0.706 0.398 La
0.385 0.615 0.683 La
0.385 0.615 0.817 La
0.615 0.385 0.183 La
0.615 0.385 0.317 La
0.706 0.294 0.602 La
0.706 0.294 0.898 La
0.940 0.060 0.250 La
0.281 0.719 0.250 Tb
0.719 0.281 0.750 Tb
0.052 0.948 0.624 Sm
0.052 0.948 0.876 Sm
0.352 0.648 0.545 Sm
0.352 0.648 0.955 Sm
0.648 0.352 0.045 Sm
0.648 0.352 0.455 Sm
0.948 0.052 0.124 Sm
0.948 0.052 0.376 Sm

***

Entry 4:
La6Tb8Sm (PBE, relaxed); energy = -0.1706 hartree per atom; DOS at the Fermi energy = 23.68 states/eV/f.u.; magnetization = 0.00 Bohr magnetons per cell
1.0
4.593 2.652 7.085
-4.593 2.652 7.085
0.000 -5.303 7.085
La Tb Sm
6 8 1
direct
0.035 0.734 0.595 La
0.266 0.405 0.965 La
0.405 0.965 0.266 La
0.595 0.035 0.734 La
0.734 0.595 0.035 La
0.965 0.266 0.405 La
0.077 0.077 0.077 Tb
0.207 0.260 0.614 Tb
0.260 0.614 0.207 Tb
0.386 0.793 0.740 Tb
0.614 0.207 0.260 Tb
0.740 0.386 0.793 Tb
0.793 0.740 0.386 Tb
0.923 0.923 0.923 Tb
0.500 0.500 0.500 Sm

***

Entry 5:
La3Tb2Sm (PBE, relaxed); DOS at the Fermi energy = 10.76 states/eV/f.u.; energy relative to the lowest polymorph listed for this composition = 247.7 meV/atom; magnetization = 0.00 Bohr magnetons per cell
1.0
-5.606 6.011 3.516
5.606 -6.011 3.516
5.606 6.011 -3.516
La Tb Sm
6 4 2
direct
0.014 0.750 0.264 La
0.250 0.250 0.000 La
0.486 0.750 0.736 La
0.514 0.250 0.264 La
0.750 0.750 0.000 La
0.986 0.250 0.736 La
0.201 0.245 0.447 Tb
0.299 0.745 0.044 Tb
0.701 0.255 0.956 Tb
0.799 0.755 0.553 Tb
0.000 0.500 0.500 Sm
0.500 0.000 0.500 Sm

***

Entry 6:
La2TbSm2 (PBE, relaxed); DOS at the Fermi energy = 8.72 states/eV/f.u.; energy relative to the lowest polymorph listed for this composition = 0.0 meV/atom; magnetization = 0.00 Bohr magnetons per cell
1.0
5.483 0.000 0.000
0.000 3.557 0.000
-2.724 0.000 8.863
La Tb Sm
2 1 2
direct
0.197 0.000 0.393 La
0.803 0.000 0.607 La
0.000 0.000 0.000 Tb
0.400 0.500 0.801 Sm
0.600 0.500 0.199 Sm